Compound: Ho7Co2Hg2
Source: the Alexandria database
Functional: PBE
Structure: relaxed Values from VASP.

## Properties
Space-group type: Cmmm
E_form, eV per atom: -0.1936

Cell and atoms, written as Quantum ESPRESSO input:
```
&SYSTEM
  ibrav = 0, nat = 11, ntyp = 3
/
ATOMIC_SPECIES
Ho 164.93 Ho.upf
Co 58.93 Co.upf
Hg 200.59 Hg.upf
CELL_PARAMETERS angstrom
-5.615 3.521 0.420
-3.679 -5.928 0.502
2.408 -0.978 6.111
ATOMIC_POSITIONS crystal
Ho 0.000 0.244 0.500
Ho 0.500 0.756 0.000
Ho 0.000 0.756 0.500
Ho 0.500 0.244 0.000
Ho 0.000 0.000 0.000
Ho 0.500 0.766 0.500
Ho 0.500 0.234 0.500
Co 0.708 0.000 0.292
Co 0.292 0.000 0.708
Hg 0.814 0.500 0.814
Hg 0.186 0.500 0.186
```

Compound: Sc2HgMo
Source: the Alexandria database
Functional: PBE
Structure: relaxed Values from VASP.

## Properties
Space-group type: Pmm2
E_form, eV per atom: 0.0973

Cell and atoms, written as Quantum ESPRESSO input:
```
&SYSTEM
  ibrav = 0, nat = 4, ntyp = 3
/
ATOMIC_SPECIES
Hg 200.59 Hg.upf
Mo 95.94 Mo.upf
Sc 44.96 Sc.upf
CELL_PARAMETERS angstrom
3.067 0.000 0.000
0.000 4.478 0.000
0.000 0.000 5.911
ATOMIC_POSITIONS crystal
Hg 0.000 0.000 0.486
Mo 0.500 0.500 0.783
Sc 0.000 0.000 0.966
Sc 0.500 0.500 0.265
```

Compound: Sc3Bi2Sb
Source: the Alexandria database
Functional: PBE
Structure: relaxed Values from VASP.

## Properties
Electronic total energy, eV/atom: -5.902
Space-group type: Fddd

Cell and atoms, written as Quantum ESPRESSO input:
```
&SYSTEM
  ibrav = 0, nat = 24, ntyp = 3
/
ATOMIC_SPECIES
Sc 44.96 Sc.upf
Bi 208.98 Bi.upf
Sb 121.76 Sb.upf
CELL_PARAMETERS angstrom
-3.082 -3.515 -5.649
6.653 -2.803 1.284
-6.874 -5.251 10.190
ATOMIC_POSITIONS crystal
Sc 0.166 0.671 0.831
Sc 0.665 0.160 0.831
Sc 0.084 0.079 0.669
Sc 0.585 0.590 0.669
Sc 0.007 0.507 0.500
Sc 0.493 0.993 0.500
Sc 0.410 0.415 0.331
Sc 0.921 0.916 0.331
Sc 0.840 0.335 0.169
Sc 0.329 0.834 0.169
Sc 0.243 0.243 0.000
Sc 0.757 0.757 0.000
Bi 0.999 0.499 0.999
Bi 0.417 0.417 0.835
Bi 0.833 0.333 0.665
Bi 0.251 0.251 0.501
Bi 0.749 0.749 0.499
Bi 0.667 0.167 0.335
Bi 0.583 0.583 0.165
Bi 0.501 0.001 0.001
Sb 0.917 0.917 0.833
Sb 0.333 0.833 0.667
Sb 0.167 0.667 0.333
Sb 0.083 0.083 0.167
```

Compound: NaTbAs2Pt4
Source: the Alexandria database
Functional: PBE
Structure: relaxed Values from VASP.

## Properties
Space-group type: P4/mmm
E_form, eV per atom: -0.6223

Cell and atoms, written as Quantum ESPRESSO input:
```
&SYSTEM
  ibrav = 0, nat = 8, ntyp = 4
/
ATOMIC_SPECIES
Na 22.99 Na.upf
Tb 158.93 Tb.upf
As 74.92 As.upf
Pt 195.08 Pt.upf
CELL_PARAMETERS angstrom
4.028 0.000 0.000
0.000 4.028 0.000
0.000 0.000 10.420
ATOMIC_POSITIONS crystal
Na 0.000 0.000 0.500
Tb 0.000 0.000 0.000
As 0.500 0.500 0.345
As 0.500 0.500 0.655
Pt 0.000 0.500 0.206
Pt 0.500 0.000 0.794
Pt 0.500 0.000 0.206
Pt 0.000 0.500 0.794
```

Compound: LiScOs2
Source: the Alexandria database
Functional: PBE
Structure: relaxed Values from VASP.

## Properties
Space-group type: Cmm2
Offset from the most stable computed form, eV per atom: 0.428
E_form, eV per atom: 0.3948

Cell and atoms, written as Quantum ESPRESSO input:
```
&SYSTEM
  ibrav = 0, nat = 4, ntyp = 3
/
ATOMIC_SPECIES
Li 6.94 Li.upf
Os 190.23 Os.upf
Sc 44.96 Sc.upf
CELL_PARAMETERS angstrom
-1.420 1.119 2.068
0.153 -2.740 0.111
7.933 0.649 5.096
ATOMIC_POSITIONS crystal
Li 0.500 0.500 0.775
Os 0.000 0.000 0.008
Os 0.500 0.500 0.242
Sc 0.000 0.000 0.474
```

Compound: NpTeS3
Source: the Alexandria database
Functional: PBE
Structure: relaxed Values from VASP.

## Properties
Electronic total energy, eV/atom: -6.344
Space-group type: C2/m

Cell and atoms, written as Quantum ESPRESSO input:
```
&SYSTEM
  ibrav = 0, nat = 10, ntyp = 3
/
ATOMIC_SPECIES
Np 237.00 Np.upf
Te 127.60 Te.upf
S 32.06 S.upf
CELL_PARAMETERS angstrom
-2.092 -3.191 1.818
5.705 -1.735 3.520
-1.573 7.240 5.985
ATOMIC_POSITIONS crystal
Np 0.770 0.753 0.541
Np 0.230 0.247 0.459
Te 0.507 0.725 0.014
Te 0.493 0.275 0.986
S 0.939 0.765 0.878
S 0.061 0.235 0.122
S 0.322 0.953 0.645
S 0.678 0.047 0.355
S 0.193 0.616 0.385
S 0.807 0.384 0.615
```

| no. | mass density (Mg/m³) |
| --- | --- |
| 1 | 9.530 |
| 2 | 7.903 |
| 3 | 6.971 |
| 4 | 10.924 |
| 5 | 11.010 |
| 6 | 5.630 |